(1)
4
Lattice="3.051 -3.055 0.000 3.051 3.055 0.000 0.000 0.000 3.487" Properties=species:S:1:pos:R:3 comment="Cu2AgPb, optimized geometry, DFT GGA-PBEsol" ef_ev_per_atom=0.24 total_energy_ev_per_atom=-3.76 rho_g_cm3=11.297 dos_at_fermi_per_ev_cell=1.05 pbc="T T T"
Cu 1.525 1.527 0.000
Cu 1.525 -1.527 0.000
Ag 0.000 0.000 1.744
Pb 3.051 0.000 1.744

***

(2)
4
Lattice="5.438 -1.729 0.000 5.438 1.729 0.000 -1.521 0.000 5.101" Properties=species:S:1:pos:R:3 comment="MgHg2Pb, optimized geometry, DFT GGA-PBEsol" ef_ev_per_atom=-0.08 total_energy_ev_per_atom=-1.80 rho_g_cm3=10.955 dos_at_fermi_per_ev_cell=1.70 pbc="T T T"
Mg 0.000 0.000 0.000
Hg 4.508 0.000 2.368
Hg 7.632 0.000 0.991
Pb 1.578 0.000 3.604

***

(3)
8
Lattice="-1.629 2.303 9.222 1.629 -2.303 9.222 1.629 2.303 -9.222" Properties=species:S:1:pos:R:3 comment="Ta7Mo, optimized geometry, DFT GGA-PBEsol" ef_ev_per_atom=-0.04 total_energy_ev_per_atom=-12.49 rho_g_cm3=16.353 dos_at_fermi_per_ev_cell=9.91 polymorph_energy_ev_per_fu=0.044 pbc="T T T"
Ta 0.000 0.000 0.000
Ta 1.629 0.000 2.323
Ta 0.000 0.000 4.640
Ta 1.629 0.000 7.000
Ta 0.000 2.303 2.221
Ta 0.000 0.000 13.804
Ta 0.000 2.303 6.898
Mo 0.000 0.000 9.222

***

(4)
16
Lattice="4.909 0.000 0.000 0.000 9.458 0.000 0.000 0.000 5.791" Properties=species:S:1:pos:R:3 comment="AgAu3, optimized geometry, DFT GGA-PBEsol" ef_ev_per_atom=-0.03 total_energy_ev_per_atom=-3.80 rho_g_cm3=17.260 dos_at_fermi_per_ev_cell=4.74 polymorph_energy_ev_per_fu=0.057 pbc="T T T"
Ag 0.429 2.365 0.724
Ag 2.025 7.094 3.620
Ag 2.884 2.365 2.171
Ag 4.480 7.094 5.067
Au 0.442 2.365 3.614
Au 1.222 0.004 2.172
Au 1.222 4.725 2.172
Au 1.233 9.455 5.067
Au 1.233 4.733 5.067
Au 2.013 7.094 0.719
Au 2.896 2.365 5.072
Au 3.676 0.004 0.724
Au 3.676 4.725 0.724
Au 3.688 9.455 3.619
Au 3.688 4.733 3.619
Au 4.468 7.094 2.177